Entry 1:
Here is an optimized crystal structure of TiAlCr from Alexandria. Energies are from PBE.

Values from the calculation:
Excess energy over the best structure of this formula in the dataset, eV per atom: 0.0871
Energy relative to the elements, eV/atom: -0.103
Density of states at the Fermi level, states/eV/f.u.: 3.006
Space-group type: P3m1, No. 156

abc: 2.609 4.356 4.356
angles: 120.00 90.00 90.00
Fractional positions:
Cr 0.295 0.667 0.333
Al 0.642 0.333 0.667
Ti 0.063 0.000 0.000

---

Entry 2:
Here is an optimized crystal structure of UTiAlCr from Alexandria. Energies are from PBE.

Values from the calculation:
Energy relative to the elements, eV/atom: 0.024
Density of states at the Fermi level, states/eV/f.u.: 4.394
Space-group type: F-43m, No. 216

abc: 4.487 4.487 4.487
angles: 60.00 60.00 60.00
Fractional positions:
Cr 0.000 0.000 0.000
U 0.750 0.750 0.750
Al 0.250 0.250 0.250
Ti 0.500 0.500 0.500